Material: TiAg2HgIr
Method: DFT, GGA-PBE
State: optimized geometry

The formation energy is 1588 meV per atom. As for the total moment: 0.0 Bohr magnetons per cell. The value obtained for the uncorrected energy is -2.964 eV per atom.

Unit cell a=4.9601 b=4.9601 c=5.0518 alpha=90.00 beta=90.00 gamma=90.00
Closest atoms and distances in Å follow each position.
Space group P4/mmm (No. 123)
Inequivalent atoms, fractional coordinates:
Ti1 0.0000 0.0000 0.0000 (multiplicity 1)  2 Hg 2.53
Ag1 0.0000 0.5000 0.5000 (multiplicity 2)  2 Hg 2.48
Hg1 0.0000 0.0000 0.5000 (multiplicity 1)  4 Ag 2.48, 2 Ti 2.53
Ir1 0.5000 0.5000 0.0000 (multiplicity 1)  4 Ti 3.51, 8 Ag 3.54